# 1
Material: Ho3Fe8Co
Method: DFT, PBE
State: optimized geometry

It has space group R-3m (No. 166, hexagonal axes), with a = 5.0369 Å, b = 5.0369 Å, c = 24.1735 Å, α = 90.00°, β = 90.00° and γ = 120.00°. The inequivalent atoms are Ho at (0.0000, 0.0000, 0.0000), Ho at (0.0000, 0.0000, 0.1420), Fe at (0.0000, 0.0000, 0.3328), Fe at (0.0000, 0.5000, 0.0817) and Co at (0.0000, 0.0000, 0.5000).

The formation energy is -11 kJ/mol of atoms. As for the calculated total energy: -266.0 eV per cell.

# 2
Material: HoFeCo
Method: DFT, PBE
State: optimized geometry

It has space group F-43m (No. 216), with a = 6.082 Å, b = 6.082 Å, c = 6.082 Å, α = 90.00°, β = 90.00° and γ = 90.00°. The inequivalent atoms are Ho at (0.000, 0.000, 0.000), Fe at (0.250, 0.250, 0.750) and Co at (0.250, 0.250, 0.250).

The formation energy is 97 kJ/mol of atoms. As for the calculated total energy: -67.9 eV per cell.

# 3
Material: HoFeCo
Method: DFT, PBE
State: optimized geometry

It has space group F-43m (No. 216), with a = 5.998 Å, b = 5.998 Å, c = 5.998 Å, α = 90.00°, β = 90.00° and γ = 90.00°. The inequivalent atoms are Ho at (0.000, 0.000, 0.000), Fe at (0.250, 0.250, 0.750) and Co at (0.000, 0.000, 0.500).

The formation energy is 36 kJ/mol of atoms. As for the calculated total energy: -75.5 eV per cell.

# 4
Material: Ho3Fe2Co7
Method: DFT, PBE
State: optimized geometry

It has space group R-3m (No. 166, hexagonal axes), with a = 5.0263 Å, b = 5.0263 Å, c = 23.6783 Å, α = 90.00°, β = 90.00° and γ = 120.00°. The inequivalent atoms are Ho at (0.0000, 0.0000, 0.0000), Ho at (0.0000, 0.0000, 0.1408), Fe at (0.0000, 0.0000, 0.3338), Co at (0.0000, 0.0000, 0.5000) and Co at (0.0016, 0.5008, 0.9181).

The formation energy is -19 kJ/mol of atoms. As for the calculated total energy: -247.2 eV per cell.